Record 1
Computed, not measured: a relaxed structure of TbGa2Fe at the PBE level of DFT.

POSCAR file:
```
TbGa2Fe
1.0
4.0962 0.0000 0.0000
2.0481 3.5474 0.0000
2.0481 1.1825 5.0305
Ga Fe Tb
2 1 1
Direct
0.7114 0.7114 0.8659
0.2886 0.2886 0.1341
0.0000 0.0000 0.0000
0.5000 0.5000 0.5000
```

Properties
Total moment in μB per atom: 0.00
Density of states at the Fermi level in states/eV per cell: 2.70
Volume in Å³ per cell: 73.10
Energy of formation from the pure elements in eV per formula unit: -1.32

---

Record 2
Computed, not measured: a relaxed structure of TbGaFe at the PBE level of DFT.

POSCAR file:
```
TbGaFe
1.0
4.4049 0.0000 0.0000
-2.2025 3.8148 0.0000
0.0000 0.0000 6.7924
Fe Ga Tb
2 2 2
Direct
0.6667 0.3333 0.2500
0.3333 0.6667 0.7500
0.3333 0.6667 0.2500
0.6667 0.3333 0.7500
0.0000 0.0000 0.0000
0.0000 0.0000 0.5000
```

Properties
Total moment in μB per atom: 0.63
Density of states at the Fermi level in states/eV per cell: 7.61
Volume in Å³ per cell: 114.14
Energy of formation from the pure elements in eV per formula unit: -0.68

---

Record 3
Computed, not measured: a relaxed structure of Tb8Ga2Fe at the PBE level of DFT.

POSCAR file:
```
Tb8Ga2Fe
1.0
5.0544 0.0000 0.0000
0.0000 6.6582 0.3920
-2.5272 -2.3722 8.4333
Tb Fe Ga
8 1 2
Direct
0.9782 0.2194 0.9564
0.6498 0.9596 0.2996
0.4099 0.5592 0.8198
0.7958 0.6986 0.5916
0.2042 0.3014 0.4084
0.5901 0.4408 0.1802
0.0218 0.7806 0.0436
0.3502 0.0404 0.7004
0.5000 0.0000 0.0000
0.8078 0.2599 0.6156
0.1922 0.7401 0.3844
```

Properties
Total moment in μB per atom: 0.00
Density of states at the Fermi level in states/eV per cell: 10.26
Volume in Å³ per cell: 288.50
Energy of formation from the pure elements in eV per formula unit: -2.00

---

Record 4
Computed, not measured: a relaxed structure of TbGa8Fe4 at the PBE level of DFT.

POSCAR file:
```
TbGa8Fe4
1.0
-1.8981 -4.4918 1.3681
4.6670 -4.0916 2.4156
-1.9861 -0.0799 6.3566
Ga Tb Fe
8 1 4
Direct
0.6603 0.3397 0.3397
0.3397 0.6603 0.6603
0.5000 0.2216 0.7784
0.0000 0.6603 0.3397
0.5000 0.7784 0.2216
0.2784 0.2216 0.2216
0.7216 0.7784 0.7784
0.0000 0.3397 0.6603
0.0000 0.0000 0.0000
0.0000 0.5000 0.0000
0.5000 0.5000 0.0000
0.0000 0.0000 0.5000
0.5000 0.0000 0.5000
```

Properties
Total moment in μB per atom: 0.48
Density of states at the Fermi level in states/eV per cell: 8.47
Volume in Å³ per cell: 192.18
Energy of formation from the pure elements in eV per formula unit: -3.73

---

Record 5
Computed, not measured: a relaxed structure of TbGaFe at the PBE level of DFT.

POSCAR file:
```
TbGaFe
1.0
3.7533 0.0000 0.0000
0.0000 4.2557 0.0000
0.0000 -2.1279 3.6856
Fe Tb Ga
1 1 1
Direct
0.1668 0.3333 0.6667
0.6666 0.6667 0.3333
0.1666 0.0000 0.0000
```

Properties
Total moment in μB per atom: 0.59
Density of states at the Fermi level in states/eV per cell: 4.51
Volume in Å³ per cell: 58.87
Energy of formation from the pure elements in eV per formula unit: -0.68

---

Record 6
Computed, not measured: a relaxed structure of TbGa7Fe5 at the PBE level of DFT.

POSCAR file:
```
TbGa7Fe5
1.0
4.6797 0.0000 1.9219
2.3480 6.1273 0.9411
0.0121 -0.0017 6.6289
Fe Ga Tb
5 7 1
Direct
0.4951 0.0019 0.5005
0.0026 0.0019 0.5005
0.4951 0.5005 0.0019
0.7405 0.7595 0.7595
0.0026 0.5005 0.0019
0.9912 0.6691 0.3486
0.3350 0.6650 0.6650
0.5065 0.7899 0.1971
0.2699 0.2301 0.2301
0.5065 0.1971 0.7899
0.6600 0.3400 0.3400
0.9912 0.3486 0.6691
0.0038 0.9962 0.9962
```

Properties
Total moment in μB per atom: 0.74
Density of states at the Fermi level in states/eV per cell: 7.93
Volume in Å³ per cell: 189.94
Energy of formation from the pure elements in eV per formula unit: -3.85

---

Record 7
Computed, not measured: a relaxed structure of TbGa3Fe3 at the PBE level of DFT.

POSCAR file:
```
TbGa3Fe3
1.0
6.4987 0.0000 0.0000
0.0000 6.4987 0.0000
0.0000 0.0000 6.4987
Ga Fe Tb
6 6 2
Direct
0.0000 0.2500 0.5000
0.5000 0.0000 0.2500
0.2500 0.5000 0.0000
0.5000 0.0000 0.7500
0.0000 0.7500 0.5000
0.7500 0.5000 0.0000
0.0000 0.5000 0.7500
0.5000 0.2500 0.0000
0.7500 0.0000 0.5000
0.0000 0.5000 0.2500
0.2500 0.0000 0.5000
0.5000 0.7500 0.0000
0.5000 0.5000 0.5000
0.0000 0.0000 0.0000
```

Properties
Total moment in μB per atom: 0.73
Density of states at the Fermi level in states/eV per cell: 23.93
Volume in Å³ per cell: 274.45
Energy of formation from the pure elements in eV per formula unit: 3.00

---

Record 8
Computed, not measured: a relaxed structure of TbGaFe at the PBE level of DFT.

POSCAR file:
```
TbGaFe
1.0
5.3494 0.0000 0.0000
2.6747 4.6327 0.0000
2.6747 1.5442 13.0085
Tb Ga Fe
6 6 6
Direct
0.9562 0.9562 0.1313
0.7402 0.7402 0.7793
0.0438 0.0438 0.8687
0.1798 0.1798 0.4606
0.2598 0.2598 0.2207
0.8202 0.8202 0.5394
0.3966 0.3966 0.8101
0.5000 0.5000 0.5000
0.5000 0.0000 0.0000
0.0000 0.5000 0.0000
0.6034 0.6034 0.1899
0.5000 0.5000 0.0000
0.2665 0.8047 0.6623
0.7335 0.1953 0.3377
0.2665 0.2665 0.6623
0.8047 0.2665 0.6623
0.1953 0.7335 0.3377
0.7335 0.7335 0.3377
```

Properties
Total moment in μB per atom: 0.51
Density of states at the Fermi level in states/eV per cell: 13.00
Volume in Å³ per cell: 322.37
Energy of formation from the pure elements in eV per formula unit: -0.98

---

Record 9
Computed, not measured: a relaxed structure of TbGa6Fe6 at the PBE level of DFT.

POSCAR file:
```
TbGa6Fe6
1.0
0.0000 6.0230 6.1212
2.5961 0.0000 6.1212
2.5961 6.0230 0.0000
Ga Fe Tb
6 6 1
Direct
0.0168 0.3512 0.6488
0.3512 0.0168 0.9832
0.6488 0.9832 0.0168
0.0000 0.0000 0.5000
0.9832 0.6488 0.3512
0.5000 0.5000 0.0000
0.7092 0.5063 0.4937
0.2908 0.4937 0.5063
0.4937 0.2908 0.7092
0.5000 0.0000 0.5000
0.5063 0.7092 0.2908
0.0000 0.5000 0.0000
0.0000 0.0000 0.0000
```

Properties
Total moment in μB per atom: 1.03
Density of states at the Fermi level in states/eV per cell: 8.56
Volume in Å³ per cell: 191.43
Excess energy over the best structure of this formula in the dataset in meV/atom: 143
Energy of formation from the pure elements in eV per formula unit: -2.20

---

Record 10
Computed, not measured: a relaxed structure of Tb2Ga6Fe at the PBE level of DFT.

POSCAR file:
```
Tb2Ga6Fe
1.0
0.2934 5.5397 2.6585
4.4011 1.2021 4.1264
4.5785 3.8550 -1.4210
Ga Tb Fe
6 2 1
Direct
0.7219 0.2781 0.2781
0.7219 0.7219 0.2781
0.2781 0.7219 0.7219
0.2781 0.2781 0.7219
0.2781 0.7219 0.2781
0.7219 0.2781 0.7219
0.2500 0.2500 0.2500
0.7500 0.7500 0.7500
0.0000 0.0000 0.0000
```

Properties
Total moment in μB per atom: 0.18
Density of states at the Fermi level in states/eV per cell: 4.57
Volume in Å³ per cell: 164.61
Energy of formation from the pure elements in eV per formula unit: -4.60

---

Record 11
Computed, not measured: a relaxed structure of TbGa4Fe at the PBE level of DFT.

POSCAR file:
```
TbGa4Fe
1.0
4.5622 0.0003 -1.1282
-0.5419 5.9667 -2.1901
-0.3498 -0.3726 8.3615
Tb Ga Fe
2 8 2
Direct
0.2073 0.2074 0.4148
0.7927 0.7926 0.5852
0.8463 0.3467 0.6935
0.6084 0.3515 0.2169
0.0000 0.1826 0.0000
0.3916 0.1346 0.7831
0.3916 0.6485 0.7831
0.6084 0.8654 0.2169
0.0000 0.8174 0.0000
0.1537 0.6533 0.3065
0.2597 0.4999 0.9998
0.7403 0.5001 0.0002
```

Properties
Total moment in μB per atom: 0.24
Density of states at the Fermi level in states/eV per cell: 3.22
Volume in Å³ per cell: 221.31
Energy of formation from the pure elements in eV per formula unit: -1.95

---

Record 12
Computed, not measured: a relaxed structure of Tb6GaFe2 at the PBE level of DFT.

POSCAR file:
```
Tb6GaFe2
1.0
7.8649 0.0498 -2.8258
-4.1499 6.8365 -2.4257
-0.0459 -0.0498 8.3570
Tb Fe Ga
12 4 2
Direct
0.2056 0.7705 0.9761
0.0989 0.2846 0.8142
0.2966 0.6118 0.3152
0.5296 0.7154 0.8142
0.7034 0.3882 0.6848
0.2966 0.9814 0.6848
0.4704 0.2846 0.1858
0.2056 0.2295 0.4351
0.7944 0.7705 0.5649
0.9011 0.7154 0.1858
0.7034 0.0186 0.3152
0.7944 0.2295 0.0239
0.3837 0.0000 0.3837
0.6163 0.0000 0.6163
0.5000 0.6090 0.1090
0.5000 0.3910 0.8910
0.0000 0.0000 0.0000
0.0000 0.5000 0.5000
```

Properties
Total moment in μB per atom: 0.21
Density of states at the Fermi level in states/eV per cell: 18.35
Volume in Å³ per cell: 448.65
Energy of formation from the pure elements in eV per formula unit: -1.40